MnBiSeCl2, single point on PBEsol structure, DFT meta-GGA SCAN; total DFT energy (no corrections) = -131.834 eV per cell; crystal system = tetragonal; total magnetization = 4.212 μB per cell
1.0
4.967 0.000 0.000
0.000 4.967 0.000
0.000 0.000 5.060
Mn Bi Se Cl
1 1 1 2
direct
0.000 0.000 0.000
0.500 0.500 0.000
0.000 0.000 0.500
0.000 0.500 0.500
0.500 0.000 0.500